Crystalline LaSm5Ho2Er at its relaxed geometry, computed with PBE-GGA.

Cell lengths 10.449, 10.449, 10.622 Å; angles 90.00, 90.00, 148.42 degrees
Sites, in units of the cell vectors:
La: 0.084 0.916 0.500
La: 0.916 0.084 0.000
Sm: 0.020 0.980 0.788
Sm: 0.115 0.885 0.071
Sm: 0.203 0.797 0.756
Sm: 0.219 0.781 0.363
Sm: 0.483 0.517 0.071
Sm: 0.517 0.483 0.571
Sm: 0.781 0.219 0.863
Sm: 0.797 0.203 0.256
Sm: 0.885 0.115 0.571
Sm: 0.980 0.020 0.288
Ho: 0.385 0.615 0.366
Ho: 0.387 0.613 0.781
Ho: 0.613 0.387 0.281
Ho: 0.615 0.385 0.866
Er: 0.300 0.700 0.060
Er: 0.700 0.300 0.560

Summary:
Calculated formation energy ... 156 meV per atom
Calculated total energy ... -81.68 eV/cell
Size of the total moment ... 0.00 μB/f.u.
Crystal system ... orthorhombic